[1]
# PrHoEr3 PBE optimized geometry
data_PrHoEr3
_cell_length_a 6.2462
_cell_length_b 5.6666
_cell_length_c 9.5567
_cell_angle_alpha 90.00
_cell_angle_beta 108.98
_cell_angle_gamma 90.00
_space_group_name_H-M_alt 'P 1 21/m 1'
_space_group_IT_number 11
loop_
_space_group_symop_operation_xyz
'x,y,z'
'-x,-y,-z'
'-x,y+1/2,-z'
'x,-y+1/2,z'
loop_
_atom_site_label
_atom_site_type_symbol
_atom_site_fract_x
_atom_site_fract_y
_atom_site_fract_z
Pr1 Pr 0.0688 0.2500 0.2998
Ho1 Ho 0.4660 0.2500 0.0986
Er1 Er 0.1346 0.7500 0.0986
Er2 Er 0.2680 0.2500 0.7020
Er3 Er 0.3352 0.7500 0.5000
# Fermi-level density of states: 1.965 states/eV/atom
# ρ: 8.39 g/cm³
# formation enthalpy at 0 K: 0.065 eV/f.u.

[2]
# PrHoEr2 PBE optimized geometry
data_PrHoEr2
_cell_length_a 3.5659
_cell_length_b 3.5659
_cell_length_c 34.7406
_cell_angle_alpha 90.00
_cell_angle_beta 90.00
_cell_angle_gamma 120.00
_space_group_name_H-M_alt 'R -3 m'
_space_group_IT_number 166
_space_group_name_Hall '-R 3 2"'
loop_
_atom_site_label
_atom_site_type_symbol
_atom_site_fract_x
_atom_site_fract_y
_atom_site_fract_z
Pr1 Pr 0.0000 0.0000 0.0000
Ho1 Ho 0.0000 0.0000 0.5000
Er1 Er 0.0000 0.0000 0.2483
# Fermi-level density of states: 1.352 states/eV/atom
# polymorph energy (0 for the lowest one): 0.008 eV per atom
# ρ: 8.34 g/cm³
# formation enthalpy at 0 K: 0.097 eV/f.u.

[3]
# PrHo3Er8 PBE optimized geometry
data_PrHo3Er8
_cell_length_a 10.8146
_cell_length_b 11.1977
_cell_length_c 6.2422
_cell_angle_alpha 90.00
_cell_angle_beta 90.00
_cell_angle_gamma 90.00
_space_group_name_H-M_alt 'I m m 2'
_space_group_IT_number 44
loop_
_space_group_symop_operation_xyz
'x,y,z'
'-x,-y,z'
'-x,y,z'
'x,-y,z'
'x+1/2,y+1/2,z+1/2'
'-x+1/2,-y+1/2,z+1/2'
'-x+1/2,y+1/2,z+1/2'
'x+1/2,-y+1/2,z+1/2'
loop_
_atom_site_label
_atom_site_type_symbol
_atom_site_fract_x
_atom_site_fract_y
_atom_site_fract_z
Pr1 Pr 0.0000 0.0000 0.0000
Ho1 Ho 0.0000 0.2515 0.6660
Ho2 Ho 0.0000 0.5000 0.9998
Er1 Er 0.1655 0.5000 0.4995
Er2 Er 0.1671 0.2520 0.1674
Er3 Er 0.1681 0.0000 0.4988
# Fermi-level density of states: 1.791 states/eV/atom
# ρ: 8.67 g/cm³
# formation enthalpy at 0 K: 0.089 eV/f.u.

[4]
# Pr7Ho2Er PBE optimized geometry
data_Pr7Ho2Er
_cell_length_a 8.9176
_cell_length_b 16.6344
_cell_length_c 5.6734
_cell_angle_alpha 90.00
_cell_angle_beta 90.00
_cell_angle_gamma 90.00
_space_group_name_H-M_alt 'C m m m'
_space_group_IT_number 65
_space_group_name_Hall '-C 2 2'
loop_
_atom_site_label
_atom_site_type_symbol
_atom_site_fract_x
_atom_site_fract_y
_atom_site_fract_z
Pr1 Pr 0.0000 0.0000 0.0000
Pr2 Pr 0.0000 0.2809 0.5000
Pr3 Pr 0.1796 0.3873 0.0000
Ho1 Ho 0.0000 0.2051 0.0000
Er1 Er 0.0000 0.5000 0.5000
# Fermi-level density of states: 1.542 states/eV/atom
# ρ: 5.85 g/cm³
# formation enthalpy at 0 K: 6.277 eV/f.u.

Which of these has the highest ρ?
PrHo3Er8

Among the records above, which one has the lowest Fermi-level density of states?
PrHoEr2

The highest ρ belongs to which entry?
PrHo3Er8